[1]
# AlV4Os

AlV4Os after structural relaxation (PBE-GGA, the Alexandria database).

Summary:
E_tot	-8.78	eV per atom
energy relative to the elements	-209	meV/atom

a = 3.0538 Å, b = 3.0538 Å, c = 8.8750 Å
α = 90.00°, β = 90.00°, γ = 90.00°
Fractional coordinates of all 6 atoms:
Al1 0.0000 0.0000 0.0000
V1 0.0000 0.0000 0.3284
V2 0.0000 0.0000 0.6716
V3 0.5000 0.5000 0.1731
V4 0.5000 0.5000 0.8269
Os1 0.5000 0.5000 0.5000

---

[2]
# Nd6InFe2

Nd6InFe2 after structural relaxation (PBE-GGA, the Alexandria database).

Summary:
E_tot	-5.42	eV per atom
energy relative to the elements	-57	meV/atom

a = 8.6773 Å, b = 8.6773 Å, c = 8.6773 Å
α = 112.27°, β = 109.32°, γ = 106.87°
Fractional coordinates of all 18 atoms:
Nd1 0.0297 0.2355 0.7942
Nd2 0.1846 0.2824 0.4670
Nd3 0.1846 0.7176 0.9022
Nd4 0.3274 0.0154 0.6879
Nd5 0.3274 0.6395 0.3121
Nd6 0.4414 0.2355 0.2058
Nd7 0.5586 0.7645 0.7942
Nd8 0.6726 0.3605 0.6879
Nd9 0.6726 0.9846 0.3121
Nd10 0.8154 0.2824 0.0978
Nd11 0.8154 0.7176 0.5330
Nd12 0.9703 0.7645 0.2058
In1 0.0000 0.0000 0.0000
In2 0.5000 0.5000 0.0000
Fe1 0.1069 0.6069 0.5000
Fe2 0.3275 0.0000 0.3275
Fe3 0.6725 0.0000 0.6725
Fe4 0.8931 0.3931 0.5000

---

[3]
# Te2Au

Te2Au after structural relaxation (PBE-GGA, the Alexandria database).

Summary:
E_form (uncorrected)	0.01	eV per atom
E_tot	-3.18	eV per atom

a = 8.7668 Å, b = 8.7668 Å, c = 6.2318 Å
α = 90.00°, β = 90.00°, γ = 153.57°
Fractional coordinates of all 6 atoms:
Te1 0.0016 0.9984 0.7500
Te2 0.2132 0.7868 0.7500
Te3 0.7868 0.2132 0.2500
Te4 0.9984 0.0016 0.2500
Au1 0.3917 0.6083 0.2500
Au2 0.6083 0.3917 0.7500

---

[4]
# Pm8Nd3Y2

Pm8Nd3Y2 after structural relaxation (PBE-GGA, the Alexandria database).

Summary:
E_tot	-4.86	eV per atom
energy relative to the lowest polymorph listed for this composition	0	kJ/mol of formula units
energy relative to the elements	156	meV/atom

a = 8.9090 Å, b = 8.9090 Å, c = 6.2408 Å
α = 107.24°, β = 107.24°, γ = 83.65°
Fractional coordinates of all 13 atoms:
Pm1 0.0557 0.0557 0.2838
Pm2 0.0696 0.5839 0.8256
Pm3 0.3455 0.3455 0.4506
Pm4 0.4161 0.9304 0.1744
Pm5 0.5839 0.0696 0.8256
Pm6 0.6545 0.6545 0.5494
Pm7 0.9304 0.4161 0.1744
Pm8 0.9443 0.9443 0.7162
Nd1 0.2570 0.7430 0.5000
Nd2 0.5000 0.5000 0.0000
Nd3 0.7430 0.2570 0.5000
Y1 0.2121 0.2121 0.8552
Y2 0.7879 0.7879 0.1448

---

[5]
# Li4AgAu2

Li4AgAu2 after structural relaxation (PBE-GGA, the Alexandria database).

Summary:
E_tot	-2.63	eV per atom
energy relative to the lowest polymorph listed for this composition	135	kJ/mol of formula units
energy relative to the elements	-190	meV/atom

a = 5.8382 Å, b = 5.8382 Å, c = 4.9836 Å
α = 90.00°, β = 90.00°, γ = 129.32°
Fractional coordinates of all 7 atoms:
Li1 0.1306 0.8694 0.0000
Li2 0.3347 0.6653 0.5000
Li3 0.6653 0.3347 0.5000
Li4 0.8694 0.1306 0.0000
Ag1 0.0000 0.0000 0.5000
Au1 0.3717 0.6283 0.0000
Au2 0.6283 0.3717 0.0000

---

[6]
# CoW2Se

CoW2Se after structural relaxation (PBE-GGA, the Alexandria database).

Summary:
E_form (uncorrected)	0.64	eV per atom
E_tot	-8.49	eV per atom

a = 4.9818 Å, b = 4.9818 Å, c = 4.9818 Å
α = 135.52°, β = 135.52°, γ = 64.72°
Fractional coordinates of all 4 atoms:
Co1 0.0000 0.0000 0.0000
W1 0.2500 0.7500 0.5000
W2 0.7500 0.2500 0.5000
Se1 0.5000 0.5000 0.0000

---

[7]
# KYAl2

KYAl2 after structural relaxation (PBE-GGA, the Alexandria database).

Summary:
E_tot	-3.54	eV per atom
energy relative to the lowest polymorph listed for this composition	84	kJ/mol of formula units
energy relative to the elements	218	meV/atom

a = 10.9726 Å, b = 10.9726 Å, c = 10.9726 Å
α = 18.29°, β = 18.29°, γ = 18.29°
Fractional coordinates of all 4 atoms:
K1 0.0000 0.0000 0.0000
Y1 0.5000 0.5000 0.5000
Al1 0.2415 0.2415 0.2415
Al2 0.7585 0.7585 0.7585

---

[8]
# LaTm2Tl3

LaTm2Tl3 after structural relaxation (PBE-GGA, the Alexandria database).

Summary:
E_tot	-3.84	eV per atom
energy relative to the elements	-346	meV/atom

a = 3.7837 Å, b = 3.7837 Å, c = 11.7540 Å
α = 90.00°, β = 90.00°, γ = 90.00°
Fractional coordinates of all 6 atoms:
La1 0.0000 0.0000 0.0000
Tm1 0.0000 0.0000 0.3415
Tm2 0.0000 0.0000 0.6585
Tl1 0.5000 0.5000 0.1857
Tl2 0.5000 0.5000 0.5000
Tl3 0.5000 0.5000 0.8143